A plane-wave DFT calculation with PBE was carried out for a relaxed BaTmHg crystal.

**Energy above the most stable polymorph in this dataset**: 0.278 eV/atom

The structure in POSCAR format:
```
BaTmHg
1.0
0.000 3.835 3.835
3.835 0.000 3.835
3.835 3.835 0.000
Ba Tm Hg
1 1 1
Cartesian
0.000 0.000 0.000
1.918 1.918 1.918
5.753 5.753 5.753
```

=====

A plane-wave DFT calculation with PBE was carried out for a relaxed BaTmHg6 crystal.

The structure in POSCAR format:
```
BaTmHg6
1.0
6.826 0.000 0.000
-3.413 5.912 0.000
0.000 0.000 5.162
Ba Tm Hg
1 1 6
Cartesian
0.000 0.000 0.000
0.000 3.941 2.581
-1.654 2.986 0.000
1.833 1.058 2.581
1.654 2.986 0.000
0.000 5.851 0.000
4.993 1.058 2.581
3.413 3.795 2.581
```

=====

A plane-wave DFT calculation with PBE was carried out for a relaxed BaTmHg crystal.

**Energy above the most stable polymorph in this dataset**: 0.000 eV/atom

The structure in POSCAR format:
```
BaTmHg
1.0
0.000 3.722 3.722
3.722 0.000 3.722
3.722 3.722 0.000
Ba Tm Hg
1 1 1
Cartesian
0.000 0.000 0.000
1.861 1.861 1.861
3.722 3.722 3.722
```

=====

A plane-wave DFT calculation with PBE was carried out for a relaxed BaHgW2 crystal.

The structure in POSCAR format:
```
BaHgW2
1.0
0.000 3.540 3.540
3.540 0.000 3.540
3.540 3.540 0.000
Ba Hg W
1 1 2
Cartesian
0.000 0.000 0.000
1.770 1.770 1.770
3.540 3.540 3.540
5.309 5.309 5.309
```

=====

A plane-wave DFT calculation with PBE was carried out for a relaxed Ba2HgW crystal.

The structure in POSCAR format:
```
Ba2HgW
1.0
0.000 3.853 3.853
3.853 0.000 3.853
3.853 3.853 0.000
Ba Hg W
2 1 1
Cartesian
0.000 0.000 0.000
1.926 1.926 1.926
5.779 5.779 5.779
3.853 3.853 3.853
```

=====

A plane-wave DFT calculation with PBE was carried out for a relaxed Ba2ZnHg crystal.

The structure in POSCAR format:
```
Ba2ZnHg
1.0
0.000 3.978 3.978
3.978 0.000 3.978
3.978 3.978 0.000
Ba Zn Hg
2 1 1
Cartesian
0.000 0.000 0.000
1.989 1.989 1.989
3.978 3.978 3.978
5.966 5.966 5.966
```

=====

A plane-wave DFT calculation with PBE was carried out for a relaxed BaZnHg crystal.

The structure in POSCAR format:
```
BaZnHg
1.0
0.000 3.885 3.885
3.885 0.000 3.885
3.885 3.885 0.000
Ba Zn Hg
1 1 1
Cartesian
0.000 0.000 0.000
1.942 1.942 1.942
5.827 5.827 5.827
```

=====

A plane-wave DFT calculation with PBE was carried out for a relaxed BaHo crystal.

**Energy above the most stable polymorph in this dataset**: 0.517 eV/atom

The structure in POSCAR format:
```
BaHo
1.0
0.000 3.553 3.553
3.553 0.000 3.553
3.553 3.553 0.000
Ba Ho
1 1
Cartesian
0.000 0.000 0.000
3.553 3.553 3.553
```

=====

A plane-wave DFT calculation with PBE was carried out for a relaxed BaHo crystal.

**Energy above the most stable polymorph in this dataset**: 1.289 eV/atom

The structure in POSCAR format:
```
BaHo
1.0
0.000 3.920 3.920
3.920 0.000 3.920
3.920 3.920 0.000
Ba Ho
1 1
Cartesian
0.000 0.000 0.000
5.880 5.880 5.880
```

=====

A plane-wave DFT calculation with PBE was carried out for a relaxed BaHo crystal.

**Energy above the most stable polymorph in this dataset**: 0.000 eV/atom

The structure in POSCAR format:
```
BaHo
1.0
3.856 0.000 0.000
-1.928 3.339 0.000
0.000 0.000 6.424
Ba Ho
1 1
Cartesian
0.000 0.000 0.000
1.928 1.113 3.212
```

=====

A plane-wave DFT calculation with PBE was carried out for a relaxed BaHoIn4Pd2 crystal.

The structure in POSCAR format:
```
BaHoIn4Pd2
1.0
7.996 0.000 0.000
0.000 2.275 5.324
0.000 -2.275 5.324
Ba Ho In Pd
1 1 4 2
Cartesian
0.000 0.000 0.000
3.998 0.000 1.438
1.681 0.000 7.560
2.493 0.000 4.484
5.502 0.000 4.484
6.315 0.000 7.560
0.000 0.000 3.013
3.998 0.000 9.072
```

=====

A plane-wave DFT calculation with PBE was carried out for a relaxed BaHoIr crystal.

**Energy above the most stable polymorph in this dataset**: 0.000 eV/atom

The structure in POSCAR format:
```
BaHoIr
1.0
0.000 3.567 3.567
3.567 0.000 3.567
3.567 3.567 0.000
Ba Ho Ir
1 1 1
Cartesian
0.000 0.000 0.000
3.567 3.567 3.567
1.783 1.783 1.783
```

=====

A plane-wave DFT calculation with PBE was carried out for a relaxed BaHoIr crystal.

**Energy above the most stable polymorph in this dataset**: 0.998 eV/atom

The structure in POSCAR format:
```
BaHoIr
1.0
0.000 3.475 3.475
3.475 0.000 3.475
3.475 3.475 0.000
Ba Ho Ir
1 1 1
Cartesian
0.000 0.000 0.000
5.212 5.212 5.212
1.737 1.737 1.737
```

=====

A plane-wave DFT calculation with PBE was carried out for a relaxed KBaHoTe3 crystal.

**Energy above the most stable polymorph in this dataset**: 0.000 eV/atom

The structure in POSCAR format:
```
KBaHoTe3
1.0
9.947 -2.298 0.000
9.947 2.298 0.000
-3.057 0.000 11.123
K Ba Ho Te
2 2 2 6
Cartesian
2.617 0.000 0.814
14.221 0.000 10.309
8.970 0.000 3.131
7.868 0.000 7.992
1.697 0.000 6.445
15.140 0.000 4.678
-1.529 0.000 5.562
5.628 0.000 2.649
4.701 0.000 6.798
9.947 0.000 0.000
12.136 0.000 4.326
11.209 0.000 8.474
```

=====

A plane-wave DFT calculation with PBE was carried out for a relaxed KBaHoTe3 crystal.

**Energy above the most stable polymorph in this dataset**: 0.183 eV/atom

The structure in POSCAR format:
```
KBaHoTe3
1.0
2.426 -7.773 0.000
2.426 7.773 0.000
0.000 0.000 11.909
K Ba Ho Te
2 2 2 6
Cartesian
2.426 7.315 8.932
2.426 -7.315 2.977
2.426 3.898 2.977
2.426 -3.898 8.932
2.426 0.000 0.000
2.426 0.000 5.955
2.426 5.653 6.282
2.426 5.653 11.582
2.426 1.434 8.932
2.426 -1.434 2.977
2.426 -5.653 0.327
2.426 -5.653 5.628
```

=====

A plane-wave DFT calculation with PBE was carried out for a relaxed BaLaHo crystal.

**Energy above the most stable polymorph in this dataset**: 0.000 eV/atom

The structure in POSCAR format:
```
BaLaHo
1.0
0.000 4.175 4.175
4.175 0.000 4.175
4.175 4.175 0.000
Ba La Ho
1 1 1
Cartesian
0.000 0.000 0.000
4.175 4.175 4.175
2.087 2.087 2.087
```

=====

A plane-wave DFT calculation with PBE was carried out for a relaxed BaLi3Ho2Pb3 crystal.

The structure in POSCAR format:
```
BaLi3Ho2Pb3
1.0
4.852 0.000 0.000
-2.426 4.202 0.000
0.000 0.000 11.828
Ba Li Ho Pb
1 3 2 3
Cartesian
0.000 0.000 0.000
0.000 2.801 5.914
2.426 1.401 2.624
2.426 1.401 9.203
0.000 0.000 4.087
0.000 0.000 7.741
0.000 2.801 2.505
0.000 2.801 9.322
2.426 1.401 5.914
```

=====

A plane-wave DFT calculation with PBE was carried out for a relaxed BaLiHoSe3 crystal.

**Energy above the most stable polymorph in this dataset**: 0.000 eV/atom

The structure in POSCAR format:
```
BaLiHoSe3
1.0
10.696 0.000 0.000
0.000 4.254 0.000
0.000 0.000 14.066
Ba Li Ho Se
4 4 4 12
Cartesian
2.651 1.063 0.053
2.697 3.190 7.086
7.999 1.063 6.979
8.044 3.190 14.012
2.641 3.190 10.955
2.707 1.063 3.922
7.989 3.190 10.144
8.055 1.063 3.111
0.034 3.190 3.521
5.314 1.063 10.553
5.381 3.190 3.512
10.662 1.063 10.545
0.592 3.190 12.412
0.656 1.063 5.381
2.642 1.063 9.580
2.705 3.190 2.547
4.692 3.190 12.414
4.756 1.063 5.379
5.940 3.190 8.687
6.004 1.063 1.652
7.990 1.063 11.519
8.053 3.190 4.486
10.040 3.190 8.685
10.103 1.063 1.654
```

=====

A plane-wave DFT calculation with PBE was carried out for a relaxed BaLiHoSe3 crystal.

**Energy above the most stable polymorph in this dataset**: 0.018 eV/atom

The structure in POSCAR format:
```
BaLiHoSe3
1.0
8.955 -2.116 0.000
8.955 2.116 0.000
-2.144 0.000 8.649
Ba Li Ho Se
2 2 2 6
Cartesian
2.303 0.000 0.577
13.463 0.000 8.071
8.179 0.000 2.602
7.586 0.000 6.047
1.702 0.000 5.030
14.064 0.000 3.618
-1.072 0.000 4.324
5.469 0.000 1.739
4.567 0.000 5.498
8.955 0.000 0.000
11.199 0.000 3.151
10.297 0.000 6.910
```

=====

A plane-wave DFT calculation with PBE was carried out for a relaxed BaLiHoSe3 crystal.

**Energy above the most stable polymorph in this dataset**: 0.000 eV/atom

The structure in POSCAR format:
```
BaLiHoSe3
1.0
2.127 -7.038 0.000
2.127 7.038 0.000
0.000 0.000 10.706
Ba Li Ho Se
2 2 2 6
Cartesian
2.127 3.571 8.030
2.127 -3.571 2.677
2.127 6.634 2.677
2.127 -6.634 8.030
2.127 0.000 0.000
2.127 0.000 5.353
2.127 5.176 0.626
2.127 5.176 4.727
2.127 0.970 2.677
2.127 -0.970 8.030
2.127 -5.176 5.979
2.127 -5.176 10.080
```

=====

no.,total energy (eV/f.u.)
1,-5.17
2,-10.61
3,-6.00
4,-22.61
5,-13.15
6,-5.95
7,-3.47
8,-4.82
9,-3.27
10,-5.85
11,-32.18
12,-15.91
13,-12.91
14,-25.28
15,-24.18
16,-9.16
17,-32.30
18,-29.85
19,-29.75
20,-29.85